Entry 1:
Below is LaCr3Cd after structural relaxation, with properties calculated at the GGA-PBE level.

```
data_LaCr3Cd
_chemical_formula_sum 'La1 Cr3 Cd1'
_symmetry_space_group_name_H-M 'P m -3 m'
_symmetry_Int_Tables_number 221
_symmetry_space_group_name_Hall '-P 4 2 3'
_cell_length_a 4.523
_cell_length_b 4.523
_cell_length_c 4.523
_cell_angle_alpha 90.00
_cell_angle_beta 90.00
_cell_angle_gamma 90.00
loop_
_atom_site_label
_atom_site_type_symbol
_atom_site_fract_x
_atom_site_fract_y
_atom_site_fract_z
La1 La 0.000 0.000 0.000
Cr1 Cr 0.000 0.000 0.500
Cd1 Cd 0.500 0.500 0.500
```

E_form	1.9384	eV/atom
total energy	-5.00	eV per atom
distance to the lowest polymorph of the same formula	13	meV per atom
D(E_F)	8.59	states/eV/cell


Entry 2:
Below is InGa3Pt2 after structural relaxation, with properties calculated at the GGA-PBE level.

```
data_InGa3Pt2
_chemical_formula_sum 'In2 Ga6 Pt4'
_symmetry_space_group_name_H-M 'P m c 21'
_symmetry_Int_Tables_number 26
_symmetry_space_group_name_Hall 'P 2c -2'
_cell_length_a 3.699
_cell_length_b 8.364
_cell_length_c 6.809
_cell_angle_alpha 90.00
_cell_angle_beta 90.00
_cell_angle_gamma 90.00
loop_
_atom_site_label
_atom_site_type_symbol
_atom_site_fract_x
_atom_site_fract_y
_atom_site_fract_z
In1 In 0.000 0.099 0.000
Ga1 Ga 0.000 0.313 0.590
Ga2 Ga 0.500 0.194 0.316
Ga3 Ga 0.500 0.410 0.901
Pt1 Pt 0.000 0.399 0.211
Pt2 Pt 0.500 0.110 0.690
```

E_form	-0.4909	eV/atom
total energy	-4.47	eV per atom
D(E_F)	4.30	states/eV/cell


Entry 3:
Below is Sr2MgAg2 after structural relaxation, with properties calculated at the GGA-PBE level.

```
data_Sr2MgAg2
_chemical_formula_sum 'Sr4 Mg2 Ag4'
_symmetry_space_group_name_H-M 'I 4/m m m'
_symmetry_Int_Tables_number 139
_symmetry_space_group_name_Hall '-I 4 2'
_cell_length_a 6.259
_cell_length_b 6.259
_cell_length_c 8.345
_cell_angle_alpha 90.00
_cell_angle_beta 90.00
_cell_angle_gamma 90.00
loop_
_atom_site_label
_atom_site_type_symbol
_atom_site_fract_x
_atom_site_fract_y
_atom_site_fract_z
Sr1 Sr 0.000 0.500 0.250
Mg1 Mg 0.000 0.000 0.000
Ag1 Ag 0.000 0.000 0.338
```

E_form	-0.1076	eV/atom
total energy	-2.24	eV per atom
distance to the lowest polymorph of the same formula	162	meV per atom
D(E_F)	6.57	states/eV/cell


Entry 4:
Below is AlGaPtCl2 after structural relaxation, with properties calculated at the GGA-PBE level.

```
data_AlGaPtCl2
_chemical_formula_sum 'Al1 Ga1 Pt1 Cl2'
_symmetry_space_group_name_H-M 'P 4/m m m'
_symmetry_Int_Tables_number 123
_symmetry_space_group_name_Hall '-P 4 2'
_cell_length_a 4.356
_cell_length_b 4.356
_cell_length_c 6.382
_cell_angle_alpha 90.00
_cell_angle_beta 90.00
_cell_angle_gamma 90.00
loop_
_atom_site_label
_atom_site_type_symbol
_atom_site_fract_x
_atom_site_fract_y
_atom_site_fract_z
Al1 Al 0.000 0.000 0.000
Ga1 Ga 0.000 0.000 0.500
Pt1 Pt 0.500 0.500 0.500
Cl1 Cl 0.000 0.500 0.000
```

total energy	-3.13	eV per atom
energy relative to the elements, uncorrected	0.17	eV/atom
D(E_F)	2.30	states/eV/cell


Entry 5:
Below is NdErPd after structural relaxation, with properties calculated at the GGA-PBE level.

```
data_NdErPd
_chemical_formula_sum 'Nd4 Er4 Pd4'
_symmetry_space_group_name_H-M 'C m c m'
_symmetry_Int_Tables_number 63
_symmetry_space_group_name_Hall '-C 2c 2'
_cell_length_a 5.742
_cell_length_b 8.341
_cell_length_c 6.252
_cell_angle_alpha 90.00
_cell_angle_beta 90.00
_cell_angle_gamma 90.00
loop_
_atom_site_label
_atom_site_type_symbol
_atom_site_fract_x
_atom_site_fract_y
_atom_site_fract_z
Nd1 Nd 0.000 0.145 0.250
Er1 Er 0.000 0.224 0.750
Pd1 Pd 0.000 0.500 0.000
```

E_form	-0.0395	eV/atom
total energy	-4.88	eV per atom
distance to the lowest polymorph of the same formula	483	meV per atom
D(E_F)	10.32	states/eV/cell


Entry 6:
Below is ZrOs2Rh after structural relaxation, with properties calculated at the GGA-PBE level.

```
data_ZrOs2Rh
_chemical_formula_sum 'Zr4 Os8 Rh4'
_symmetry_space_group_name_H-M 'F -4 3 m'
_symmetry_Int_Tables_number 216
_symmetry_space_group_name_Hall 'F -4 2 3'
_cell_length_a 6.368
_cell_length_b 6.368
_cell_length_c 6.368
_cell_angle_alpha 90.00
_cell_angle_beta 90.00
_cell_angle_gamma 90.00
loop_
_atom_site_label
_atom_site_type_symbol
_atom_site_fract_x
_atom_site_fract_y
_atom_site_fract_z
Zr1 Zr 0.000 0.000 0.000
Os1 Os 0.000 0.000 0.500
Os2 Os 0.250 0.250 0.750
Rh1 Rh 0.250 0.250 0.250
```

E_form	0.1262	eV/atom
total energy	-9.46	eV per atom
distance to the lowest polymorph of the same formula	338	meV per atom
D(E_F)	29.47	states/eV/cell


Entry 7:
Below is Cs2DyPbF6 after structural relaxation, with properties calculated at the GGA-PBE level.

```
data_Cs2DyPbF6
_chemical_formula_sum 'Cs4 Dy2 Pb2 F12'
_symmetry_space_group_name_H-M 'P m m n'
_symmetry_Int_Tables_number 59
_cell_length_a 6.513
_cell_length_b 9.310
_cell_length_c 7.773
_cell_angle_alpha 90.00
_cell_angle_beta 90.00
_cell_angle_gamma 90.00
loop_
_symmetry_equiv_pos_as_xyz
'x,y,z'
'-x,-y,-z'
'-x+1/2,-y+1/2,z'
'x+1/2,y+1/2,-z'
'x+1/2,-y,-z'
'-x+1/2,y,z'
'-x,y+1/2,-z'
'x,-y+1/2,z'
loop_
_atom_site_label
_atom_site_type_symbol
_atom_site_fract_x
_atom_site_fract_y
_atom_site_fract_z
Cs1 Cs 0.250 0.004 0.203
Dy1 Dy 0.250 0.750 0.765
Pb1 Pb 0.250 0.250 0.708
F1 F 0.010 0.250 0.413
F2 F 0.017 0.750 0.969
F3 F 0.250 0.513 0.777
```

total energy	-5.09	eV per atom
energy relative to the elements, uncorrected	-2.97	eV/atom


Entry 8:
Below is ScSb2Rh after structural relaxation, with properties calculated at the GGA-PBE level.

```
data_ScSb2Rh
_chemical_formula_sum 'Sc3 Sb6 Rh3'
_symmetry_space_group_name_H-M 'R -3 m'
_symmetry_Int_Tables_number 166
_symmetry_space_group_name_Hall '-R 3 2"'
_cell_length_a 3.3899
_cell_length_b 3.3899
_cell_length_c 25.8289
_cell_angle_alpha 90.00
_cell_angle_beta 90.00
_cell_angle_gamma 120.00
loop_
_atom_site_label
_atom_site_type_symbol
_atom_site_fract_x
_atom_site_fract_y
_atom_site_fract_z
Sc1 Sc 0.0000 0.0000 0.0000
Sb1 Sb 0.0000 0.0000 0.2405
Rh1 Rh 0.0000 0.0000 0.5000
```

total energy	-5.76	eV per atom
energy relative to the elements, uncorrected	-0.28	eV/atom
D(E_F)	11.04	states/eV/cell


Entry 9:
Below is Ti3InPd after structural relaxation, with properties calculated at the GGA-PBE level.

```
data_Ti3InPd
_chemical_formula_sum 'Ti3 In1 Pd1'
_symmetry_space_group_name_H-M 'P m -3 m'
_symmetry_Int_Tables_number 221
_symmetry_space_group_name_Hall '-P 4 2 3'
_cell_length_a 4.775
_cell_length_b 4.775
_cell_length_c 4.775
_cell_angle_alpha 90.00
_cell_angle_beta 90.00
_cell_angle_gamma 90.00
loop_
_atom_site_label
_atom_site_type_symbol
_atom_site_fract_x
_atom_site_fract_y
_atom_site_fract_z
Ti1 Ti 0.000 0.000 0.500
In1 In 0.500 0.500 0.500
Pd1 Pd 0.000 0.000 0.000
```

E_form	0.3678	eV/atom
total energy	-5.96	eV per atom
distance to the lowest polymorph of the same formula	572	meV per atom
D(E_F)	6.57	states/eV/cell


Entry 10:
Below is Pm6Te3Ir2Au after structural relaxation, with properties calculated at the GGA-PBE level.

```
data_Pm6Te3Ir2Au
_chemical_formula_sum 'Pm12 Te6 Ir4 Au2'
_symmetry_space_group_name_H-M 'C 1 2/m 1'
_symmetry_Int_Tables_number 12
_symmetry_space_group_name_Hall '-C 2y'
_cell_length_a 7.376
_cell_length_b 12.764
_cell_length_c 7.890
_cell_angle_alpha 90.00
_cell_angle_beta 108.08
_cell_angle_gamma 90.00
loop_
_atom_site_label
_atom_site_type_symbol
_atom_site_fract_x
_atom_site_fract_y
_atom_site_fract_z
Pm1 Pm 0.215 0.000 0.210
Pm2 Pm 0.250 0.178 0.784
Te1 Te 0.000 0.000 0.500
Te2 Te 0.000 0.340 0.500
Ir1 Ir 0.000 0.168 0.000
Au1 Au 0.000 0.500 0.000
```

total energy	-5.97	eV per atom
energy relative to the elements, uncorrected	-1.06	eV/atom
D(E_F)	13.25	states/eV/cell


Entry 11:
Below is CoRe2Te after structural relaxation, with properties calculated at the GGA-PBE level.

```
data_CoRe2Te
_chemical_formula_sum 'Co2 Re4 Te2'
_symmetry_space_group_name_H-M 'C 1 m 1'
_symmetry_Int_Tables_number 8
_symmetry_space_group_name_Hall 'C -2y'
_cell_length_a 8.827
_cell_length_b 3.087
_cell_length_c 4.758
_cell_angle_alpha 90.00
_cell_angle_beta 97.97
_cell_angle_gamma 90.00
loop_
_atom_site_label
_atom_site_type_symbol
_atom_site_fract_x
_atom_site_fract_y
_atom_site_fract_z
Co1 Co 0.000 0.000 0.000
Re1 Re 0.034 0.500 0.588
Re2 Re 0.265 0.000 0.788
Te1 Te 0.267 0.500 0.260
```

total energy	-8.18	eV per atom
energy relative to the elements, uncorrected	0.60	eV/atom
D(E_F)	8.03	states/eV/cell


Entry 12:
Below is Ba4Re after structural relaxation, with properties calculated at the GGA-PBE level.

```
data_Ba4Re
_chemical_formula_sum 'Ba8 Re2'
_symmetry_space_group_name_H-M 'I 4/m'
_symmetry_Int_Tables_number 87
_symmetry_space_group_name_Hall '-I 4'
_cell_length_a 10.895
_cell_length_b 10.895
_cell_length_c 3.940
_cell_angle_alpha 90.00
_cell_angle_beta 90.00
_cell_angle_gamma 90.00
loop_
_atom_site_label
_atom_site_type_symbol
_atom_site_fract_x
_atom_site_fract_y
_atom_site_fract_z
Ba1 Ba 0.052 0.236 0.000
Re1 Re 0.000 0.000 0.500
```

E_form	0.6310	eV/atom
total energy	-3.40	eV per atom
distance to the lowest polymorph of the same formula	0	meV per atom
D(E_F)	18.24	states/eV/cell